The following is a DFT calculation (PBE-GGA) of an optimized crystal structure of KPaPd.

Calculated values
For the distance to the lowest polymorph of the same formula, the calculation gives 0.000 eV per atom. As for the electronic total energy: -4.5289 eV per atom. Its volume is 354.08 Å³/cell.

a b c (Å): 7.0746 7.0746 7.0746
angles (deg): 90.00 90.00 90.00
Last column: nearest neighbours and their distance in Å.
Space group F-43m (No. 216)
Asymmetric unit:
K1 0.0000 0.0000 0.0000 x4  4 Pd 3.06
Pa1 0.0000 0.0000 0.5000 x4  4 Pd 3.06
Pd1 0.2500 0.2500 0.2500 x4  4 Pa 3.06, 4 K 3.06

The following is a DFT calculation (PBE-GGA) of an optimized crystal structure of PrNd2Mg3Tl2Cd.

Calculated values
As for the electronic total energy: -3.0815 eV per atom. Its volume is 492.18 Å³/cell.

a b c (Å): 4.7590 13.4049 7.7151
angles (deg): 90.00 90.00 90.00
Last column: nearest neighbours and their distance in Å.
Space group Amm2 (No. 38)
Asymmetric unit:
Pr1 0.0000 0.0000 0.0000 x2  1 Cd 3.26, 4 Tl 3.33, 2 Mg 3.54
Nd1 0.0000 0.2107 0.6321 x4  1 Cd 3.25, 4 Tl 3.31, 2 Mg 3.55
Mg1 0.5000 0.0000 0.6598 x2  2 Cd 3.00, 2 Tl 3.02, 2 Mg 3.19
Mg2 0.5000 0.1193 0.3027 x4  2 Tl 3.00-3.01, 2 Cd 3.01, 2 Mg 3.19-3.20
Tl1 0.5000 0.1675 0.9213 x4  3 Mg 3.00-3.02, 4 Nd 3.31, 2 Pr 3.33
Cd1 0.0000 0.0000 0.4231 x2  6 Mg 3.00-3.01, 2 Nd 3.25, 1 Pr 3.26

The following is a DFT calculation (PBE-GGA) of an optimized crystal structure of GdAlSi.

Calculated values
As for the electronic total energy: -4.8030 eV per atom. Its volume is 195.73 Å³/cell.

a b c (Å): 7.4731 7.4731 4.0470
angles (deg): 90.00 90.00 120.00
Last column: nearest neighbours and their distance in Å.
Space group P-62m (No. 189)
Asymmetric unit:
Gd1 0.0000 0.2768 0.0000 x3  4 Si 2.73-2.89
Al1 0.0000 0.5983 0.5000 x3  5 Si 3.00-3.05, 6 Gd 3.14-3.34
Si1 0.0000 0.0000 0.5000 x1  6 Gd 2.89, 3 Al 3.00
Si2 0.3333 0.6667 0.0000 x2  3 Gd 2.73, 6 Al 3.05